Record 1
CaTb2Er | PBE | optimized geometry

```
data_CaTb2Er
_chemical_formula_sum 'Ca1 Tb2 Er1'
_space_group_name_H-M_alt 'P 1'
_space_group_IT_number 1
_space_group_name_Hall 'P 1'
_cell_length_a 5.058
_cell_length_b 5.112
_cell_length_c 5.112
_cell_angle_alpha 90.00
_cell_angle_beta 90.00
_cell_angle_gamma 90.00
loop_
_atom_site_label
_atom_site_fract_x
_atom_site_fract_y
_atom_site_fract_z
Ca1 0.500 0.500 0.500
Tb1 0.000 0.000 0.500
Tb2 0.000 0.500 0.000
Er1 0.500 0.000 0.000
```

Properties
E above lowest polymorph = 29 kJ/mol of formula units
theoretical density = 6.6 Mg/m³
ΔH_f (0 K) = 0.5 eV per formula unit
raw total energy = -15.3 eV for the cell shown

***

Record 2
LaYNi3 | PBE | optimized geometry

```
data_LaYNi3
_chemical_formula_sum 'La1 Y1 Ni3'
_space_group_name_H-M_alt 'P 1'
_space_group_IT_number 1
_space_group_name_Hall 'P 1'
_cell_length_a 4.834
_cell_length_b 4.834
_cell_length_c 4.834
_cell_angle_alpha 90.00
_cell_angle_beta 90.00
_cell_angle_gamma 90.00
loop_
_atom_site_label
_atom_site_fract_x
_atom_site_fract_y
_atom_site_fract_z
Y1 0.500 0.500 0.500
Ni1 0.000 0.500 0.000
Ni2 0.000 0.000 0.500
Ni3 0.500 0.000 0.000
La1 0.000 0.000 0.000
```

Properties
E above lowest polymorph = 461 kJ/mol of formula units
theoretical density = 5.9 Mg/m³
ΔH_f (0 K) = 2.9 eV per formula unit
raw total energy = -25.8 eV for the cell shown

***

Record 3
Tm5SnGe6 | PBE | optimized geometry

```
data_Tm5SnGe6
_chemical_formula_sum 'Tm5 Sn1 Ge6'
_space_group_name_H-M_alt 'P 1'
_space_group_IT_number 1
_space_group_name_Hall 'P 1'
_cell_length_a 5.587
_cell_length_b 7.123
_cell_length_c 8.133
_cell_angle_alpha 109.50
_cell_angle_beta 102.16
_cell_angle_gamma 107.65
loop_
_atom_site_label
_atom_site_fract_x
_atom_site_fract_y
_atom_site_fract_z
Ge1 0.136 0.494 0.377
Ge2 0.240 0.883 0.377
Ge3 0.440 0.316 0.000
Ge4 0.560 0.684 0.000
Ge5 0.760 0.117 0.623
Ge6 0.864 0.506 0.623
Tm1 0.381 0.881 0.761
Tm2 0.687 0.687 0.374
Tm3 0.000 0.500 0.000
Tm4 0.313 0.313 0.626
Tm5 0.619 0.119 0.239
Sn1 0.000 0.000 0.000
```

Properties
theoretical density = 8.5 Mg/m³
ΔH_f (0 K) = -7.4 eV per formula unit
raw total energy = -61.5 eV for the cell shown

***

Record 4
MnSi2SN | PBE | optimized geometry

```
data_MnSi2SN
_chemical_formula_sum 'Mn2 Si4 S2 N2'
_space_group_name_H-M_alt 'P 1'
_space_group_IT_number 1
_space_group_name_Hall 'P 1'
_cell_length_a 10.079
_cell_length_b 2.950
_cell_length_c 5.108
_cell_angle_alpha 90.00
_cell_angle_beta 97.63
_cell_angle_gamma 90.00
loop_
_atom_site_label
_atom_site_fract_x
_atom_site_fract_y
_atom_site_fract_z
Mn1 0.647 0.000 0.630
Mn2 0.647 0.500 0.130
Si1 0.247 0.000 0.192
Si2 0.247 0.500 0.692
Si3 0.486 0.000 0.255
Si4 0.486 0.500 0.755
S1 0.788 0.000 0.334
S2 0.788 0.500 0.834
N1 0.195 0.000 0.845
N2 0.195 0.500 0.345
```

Properties
E above lowest polymorph = 0 kJ/mol of formula units
theoretical density = 3.5 Mg/m³
E_form (uncorrected) = -458 meV per atom
raw total energy = -69.5 eV for the cell shown

***

Record 5
Tb2Er6Tm | PBE | optimized geometry

```
data_Tb2Er6Tm
_chemical_formula_sum 'Tb4 Er12 Tm2'
_space_group_name_H-M_alt 'P 1'
_space_group_IT_number 1
_space_group_name_Hall 'P 1'
_cell_length_a 6.469
_cell_length_b 9.447
_cell_length_c 9.447
_cell_angle_alpha 96.16
_cell_angle_beta 80.65
_cell_angle_gamma 80.65
loop_
_atom_site_label
_atom_site_fract_x
_atom_site_fract_y
_atom_site_fract_z
Tb1 0.130 0.618 0.666
Tb2 0.370 0.334 0.382
Tb3 0.870 0.382 0.334
Tb4 0.630 0.666 0.618
Er1 0.504 0.650 0.277
Er2 0.996 0.723 0.350
Er3 0.496 0.350 0.723
Er4 0.004 0.277 0.650
Er5 0.728 0.061 0.461
Er6 0.772 0.539 0.939
Er7 0.272 0.939 0.539
Er8 0.228 0.461 0.061
Er9 0.314 0.778 0.955
Er10 0.186 0.045 0.222
Er11 0.686 0.222 0.045
Er12 0.814 0.955 0.778
Tm1 0.250 0.119 0.881
Tm2 0.750 0.881 0.119
```

Properties
theoretical density = 8.9 Mg/m³
ΔH_f (0 K) = 1.0 eV per formula unit
raw total energy = -80.2 eV for the cell shown

***

Record 6
InSbPbI2 | PBE | optimized geometry

```
data_InSbPbI2
_chemical_formula_sum 'In1 Sb1 Pb1 I2'
_space_group_name_H-M_alt 'P 1'
_space_group_IT_number 1
_space_group_name_Hall 'P 1'
_cell_length_a 5.842
_cell_length_b 5.842
_cell_length_c 5.838
_cell_angle_alpha 90.00
_cell_angle_beta 90.00
_cell_angle_gamma 90.00
loop_
_atom_site_label
_atom_site_fract_x
_atom_site_fract_y
_atom_site_fract_z
Pb1 0.500 0.500 0.500
I1 0.000 0.500 0.000
I2 0.500 0.000 0.000
In1 0.000 0.000 0.000
Sb1 0.000 0.000 0.500
```

Properties
E above lowest polymorph = 46 kJ/mol of formula units
theoretical density = 5.8 Mg/m³
E_form (uncorrected) = 204 meV per atom
raw total energy = -12.6 eV for the cell shown

***

Record 7
Zr2TiCdO | PBE | optimized geometry

```
data_Zr2TiCdO
_chemical_formula_sum 'Zr2 Ti1 Cd1 O1'
_space_group_name_H-M_alt 'P 1'
_space_group_IT_number 1
_space_group_name_Hall 'P 1'
_cell_length_a 4.611
_cell_length_b 4.611
_cell_length_c 4.049
_cell_angle_alpha 90.00
_cell_angle_beta 90.00
_cell_angle_gamma 90.00
loop_
_atom_site_label
_atom_site_fract_x
_atom_site_fract_y
_atom_site_fract_z
Ti1 0.000 0.000 0.500
O1 0.000 0.000 0.000
Zr1 0.000 0.500 0.000
Zr2 0.500 0.000 0.000
Cd1 0.500 0.500 0.500
```

Properties
theoretical density = 6.9 Mg/m³
E_form (uncorrected) = -1085 meV per atom
raw total energy = -36.3 eV for the cell shown

***

Record 8
FeTcTe2 | PBE | optimized geometry

```
data_FeTcTe2
_chemical_formula_sum 'Fe1 Tc1 Te2'
_space_group_name_H-M_alt 'P 1'
_space_group_IT_number 1
_space_group_name_Hall 'P 1'
_cell_length_a 4.362
_cell_length_b 4.362
_cell_length_c 5.821
_cell_angle_alpha 78.35
_cell_angle_beta 78.35
_cell_angle_gamma 44.99
loop_
_atom_site_label
_atom_site_fract_x
_atom_site_fract_y
_atom_site_fract_z
Fe1 0.750 0.750 0.750
Tc1 0.250 0.250 0.250
Te1 0.994 0.994 0.001
Te2 0.506 0.506 0.499
```

Properties
E above lowest polymorph = 164 kJ/mol of formula units
theoretical density = 8.9 Mg/m³
E_form (uncorrected) = 412 meV per atom
raw total energy = -23.5 eV for the cell shown